Material: SrCa4Ni
Method: DFT, PBE-GGA
State: relaxed

Lattice parameters (Å, degrees): 6.6864 7.0956 10.2725 90.00 80.90 90.00
Fractional positions:
Sr 0.0000 0.0000 0.0000
Sr 0.5000 0.5000 0.0000
Ca 0.9320 0.6060 0.2549
Ca 0.5680 0.1060 0.7451
Ca 0.3695 0.3578 0.4001
Ca 0.1305 0.8578 0.5999
Ca 0.0680 0.3940 0.7451
Ca 0.4320 0.8940 0.2549
Ca 0.6305 0.6422 0.5999
Ca 0.8695 0.1422 0.4001
Ni 0.5000 0.0000 0.5000
Ni 0.0000 0.5000 0.5000

DFT formation energy: 43 meV/atom
Distance to the lowest polymorph of the same formula: 0.0000 eV per atom
Calculated density: 2116 kg/m3
Total magnetic moment: 0.000 μB per formula unit